First-principles (PBE) data for an optimized crystal structure of AcErMgIn, as listed in Alexandria via LeMat-Bulk.

a b c (Å): 7.860 7.860 7.860
angles (deg): 90.00 90.00 90.00
Space group F-43m (No. 216)
Unique sites:
Ac  0.000  0.000  0.000 [4 per cell]
Er  0.000  0.000  0.500 [4 per cell]
Mg  0.250  0.250  0.250 [4 per cell]
In  0.250  0.250  0.750 [4 per cell]

energy of formation: -0.24 eV per atom
size of the total moment: 0.0 μB per formula unit

First-principles (PBE) data for an optimized crystal structure of KSc2Se, as listed in Alexandria via LeMat-Bulk.

a b c (Å): 3.7133 3.7133 34.6881
angles (deg): 90.00 90.00 120.00
Space group R-3m (No. 166, hexagonal axes)
Unique sites:
K  0.0000  0.0000  0.0000 [3 per cell]
Sc  0.0000  0.0000  0.4298 [6 per cell]
Se  0.0000  0.0000  0.5000 [3 per cell]

formation energy (no corrections): 128 meV/atom
size of the total moment: 0.0 μB per formula unit

First-principles (PBE) data for an optimized crystal structure of Ir2RuAu, as listed in Alexandria via LeMat-Bulk.

a b c (Å): 2.747 4.756 9.573
angles (deg): 90.00 90.00 90.00
Space group Cmmm (No. 65)
Unique sites:
Ir  0.000  0.000  0.236 [4 per cell]
Ru  0.000  0.500  0.000 [2 per cell]
Au  0.000  0.500  0.500 [2 per cell]

energy of formation: 0.40 eV per atom
distance to the lowest polymorph of the same formula: 0.243 eV/atom
size of the total moment: 1.0 μB per formula unit